# 1
# PbSe2N2, single point on PBEsol structure, DFT SCAN
data_PbSe2N2
_chemical_formula_sum 'Pb1 Se2 N2'
_cell_length_a 4.239
_cell_length_b 4.239
_cell_length_c 5.833
_cell_angle_alpha 90.00
_cell_angle_beta 90.00
_cell_angle_gamma 90.00
_symmetry_space_group_name_H-M 'P 4/m m m'
_symmetry_Int_Tables_number 123
_symmetry_space_group_name_Hall '-P 4 2'
loop_
_atom_site_label
_atom_site_fract_x
_atom_site_fract_y
_atom_site_fract_z
Pb1 0.000 0.000 0.000
Se1 0.000 0.000 0.500
Se2 0.500 0.500 0.500
N1 0.000 0.500 0.000
# **Formation energy (no corrections)**: 1.71 eV/atom
# **Size of the total moment**: 0.658 μB per atom
# **E above lowest polymorph**: 402 meV/atom
# **E**: -25.20 eV/atom

# 2
# PbSe2N2, single point on PBEsol structure, DFT SCAN
data_PbSe2N2
_chemical_formula_sum 'Pb1 Se2 N2'
_cell_length_a 4.031
_cell_length_b 4.031
_cell_length_c 5.180
_cell_angle_alpha 90.00
_cell_angle_beta 90.00
_cell_angle_gamma 90.00
_symmetry_space_group_name_H-M 'P 4/m m m'
_symmetry_Int_Tables_number 123
_symmetry_space_group_name_Hall '-P 4 2'
loop_
_atom_site_label
_atom_site_fract_x
_atom_site_fract_y
_atom_site_fract_z
Pb1 0.000 0.000 0.000
Se1 0.500 0.500 0.000
Se2 0.500 0.500 0.500
N1 0.000 0.500 0.500
# **Formation energy (no corrections)**: 1.30 eV/atom
# **Size of the total moment**: 0.326 μB per atom
# **E above lowest polymorph**: 0 meV/atom
# **E**: -25.60 eV/atom

# 3
# PbSeN3, single point on PBEsol structure, DFT SCAN
data_PbSeN3
_chemical_formula_sum 'Pb1 Se1 N3'
_cell_length_a 3.901
_cell_length_b 3.901
_cell_length_c 3.901
_cell_angle_alpha 90.00
_cell_angle_beta 90.00
_cell_angle_gamma 90.00
_symmetry_space_group_name_H-M 'P m -3 m'
_symmetry_Int_Tables_number 221
_symmetry_space_group_name_Hall '-P 4 2 3'
loop_
_atom_site_label
_atom_site_fract_x
_atom_site_fract_y
_atom_site_fract_z
Pb1 0.000 0.000 0.000
Se1 0.500 0.500 0.500
N1 0.000 0.500 0.500
# **Formation energy (no corrections)**: 1.60 eV/atom
# **Size of the total moment**: 0.000 μB per atom
# **E**: -23.15 eV/atom

# 4
# SnPbSeN2, single point on PBEsol structure, DFT SCAN
data_SnPbSeN2
_chemical_formula_sum 'Sn1 Pb1 Se1 N2'
_cell_length_a 4.344
_cell_length_b 4.344
_cell_length_c 5.568
_cell_angle_alpha 90.00
_cell_angle_beta 90.00
_cell_angle_gamma 90.00
_symmetry_space_group_name_H-M 'P 4/m m m'
_symmetry_Int_Tables_number 123
_symmetry_space_group_name_Hall '-P 4 2'
loop_
_atom_site_label
_atom_site_fract_x
_atom_site_fract_y
_atom_site_fract_z
Sn1 0.000 0.000 0.000
Pb1 0.500 0.500 0.500
Se1 0.500 0.500 0.000
N1 0.000 0.500 0.500
# **Formation energy (no corrections)**: 1.40 eV/atom
# **Size of the total moment**: 0.436 μB per atom
# **E**: -28.68 eV/atom

# 5
# TiPbSeN2, single point on PBEsol structure, DFT SCAN
data_TiPbSeN2
_chemical_formula_sum 'Ti1 Pb1 Se1 N2'
_cell_length_a 4.170
_cell_length_b 4.170
_cell_length_c 5.496
_cell_angle_alpha 90.00
_cell_angle_beta 90.00
_cell_angle_gamma 90.00
_symmetry_space_group_name_H-M 'P 4/m m m'
_symmetry_Int_Tables_number 123
_symmetry_space_group_name_Hall '-P 4 2'
loop_
_atom_site_label
_atom_site_fract_x
_atom_site_fract_y
_atom_site_fract_z
Ti1 0.000 0.000 0.000
Pb1 0.500 0.500 0.500
Se1 0.500 0.500 0.000
N1 0.000 0.500 0.500
# **Formation energy (no corrections)**: 1.37 eV/atom
# **Size of the total moment**: 0.012 μB per atom
# **E**: -24.72 eV/atom

# 6
# TlPbSeN2, single point on PBEsol structure, DFT SCAN
data_TlPbSeN2
_chemical_formula_sum 'Tl1 Pb1 Se1 N2'
_cell_length_a 4.373
_cell_length_b 4.373
_cell_length_c 5.595
_cell_angle_alpha 90.00
_cell_angle_beta 90.00
_cell_angle_gamma 90.00
_symmetry_space_group_name_H-M 'P 4/m m m'
_symmetry_Int_Tables_number 123
_symmetry_space_group_name_Hall '-P 4 2'
loop_
_atom_site_label
_atom_site_fract_x
_atom_site_fract_y
_atom_site_fract_z
Tl1 0.000 0.000 0.000
Pb1 0.500 0.500 0.500
Se1 0.000 0.000 0.500
N1 0.000 0.500 0.000
# **Formation energy (no corrections)**: 1.39 eV/atom
# **Size of the total moment**: 0.602 μB per atom
# **E**: -35.97 eV/atom

# 7
# SiPbN2, single point on PBEsol structure, DFT SCAN
data_SiPbN2
_chemical_formula_sum 'Si4 Pb4 N8'
_cell_length_a 5.401
_cell_length_b 5.401
_cell_length_c 7.386
_cell_angle_alpha 90.00
_cell_angle_beta 90.00
_cell_angle_gamma 90.00
_symmetry_space_group_name_H-M 'I -4 2 d'
_symmetry_Int_Tables_number 122
_symmetry_space_group_name_Hall 'I -4 2bw'
loop_
_atom_site_label
_atom_site_fract_x
_atom_site_fract_y
_atom_site_fract_z
Si1 0.000 0.000 0.000
Pb1 0.000 0.000 0.500
N1 0.114 0.250 0.125
# **Formation energy (no corrections)**: -0.44 eV/atom
# **Size of the total moment**: 0.000 μB per atom
# **E**: -26.53 eV/atom

# 8
# Si7PbN10, single point on PBEsol structure, DFT SCAN
data_Si7PbN10
_chemical_formula_sum 'Si14 Pb2 N20'
_cell_length_a 6.876
_cell_length_b 6.740
_cell_length_c 9.682
_cell_angle_alpha 90.00
_cell_angle_beta 105.92
_cell_angle_gamma 90.00
_symmetry_space_group_name_H-M 'P 1 c 1'
_symmetry_Int_Tables_number 7
_symmetry_space_group_name_Hall 'P -2yc'
loop_
_atom_site_label
_atom_site_fract_x
_atom_site_fract_y
_atom_site_fract_z
Si1 0.000 0.025 0.000
Si2 0.052 0.371 0.637
Si3 0.180 0.025 0.310
Si4 0.240 0.381 0.941
Si5 0.428 0.398 0.249
Si6 0.686 0.374 0.017
Si7 0.872 0.371 0.334
Pb1 0.607 0.056 0.731
N1 0.043 0.465 0.800
N2 0.088 0.117 0.655
N3 0.212 0.131 0.958
N4 0.250 0.499 0.100
N5 0.378 0.166 0.300
N6 0.458 0.420 0.886
N7 0.651 0.381 0.193
N8 0.785 0.155 0.984
N9 0.835 0.422 0.501
N10 0.968 0.135 0.351
# **Formation energy (no corrections)**: -1.14 eV/atom
# **Size of the total moment**: 0.000 μB per atom
# **E**: -14.40 eV/atom